(1)
Below is a relaxed LiAgH2 crystal, with properties calculated at the PBE level.

ρ: 5003 kg/m3
E above lowest polymorph: 0.593 eV/f.u.

Unit cell a=2.946 b=2.946 c=5.432 alpha=74.26 beta=74.26 gamma=60.00
Atoms (fractional coordinates):
1 Li 0.679 0.679 0.964
2 Ag 0.506 0.506 0.482
3 H 0.248 0.248 0.255
4 H 0.067 0.067 0.800

=====

(2)
Below is a relaxed ZnCu2Rh crystal, with properties calculated at the PBE level.

energy of formation from the pure elements: -0.117 eV/atom
ρ: 9370 kg/m3

Unit cell a=4.562 b=4.562 c=4.562 alpha=131.37 beta=131.37 gamma=71.23
Atoms (fractional coordinates):
1 Rh 0.250 0.750 0.500
2 Zn 0.750 0.250 0.500
3 Cu 0.500 0.500 0.000
4 Cu 0.000 0.000 0.000

=====

(3)
Below is a relaxed LiEuNiPt crystal, with properties calculated at the PBE level.

energy of formation from the pure elements: -0.321 eV/atom
ρ: 10112 kg/m3

Unit cell a=4.576 b=4.576 c=4.576 alpha=60.00 beta=60.00 gamma=60.00
Each line ends with the local moment (μB).
Atoms (fractional coordinates):
1 Ni 0.750 0.750 0.750  -0.24
2 Li 0.250 0.250 0.250  0.02
3 Pt 0.000 0.000 0.000  -0.07
4 Eu 0.500 0.500 0.500  6.71

=====

(4)
Below is a relaxed Ac3Ga3Ge crystal, with properties calculated at the PBE level.

energy of formation from the pure elements: -0.621 eV/atom
ρ: 7948 kg/m3

Unit cell a=4.332 b=4.707 c=10.370 alpha=103.12 beta=102.06 gamma=90.00
Atoms (fractional coordinates):
1 Ac 0.317 0.817 0.633
2 Ac 0.684 0.184 0.368
3 Ac 0.999 0.999 0.997
4 Ga 0.566 0.566 0.133
5 Ga 0.860 0.360 0.720
6 Ga 0.138 0.638 0.275
7 Ge 0.437 0.437 0.873

=====

(5)
Below is a relaxed TaNi4H crystal, with properties calculated at the PBE level.

raw total energy: -6.5798 eV/atom
ρ: 10796 kg/m3

Unit cell a=4.249 b=5.130 c=6.749 alpha=112.33 beta=108.04 gamma=90.00
Atoms (fractional coordinates):
1 Ni 0.385 0.132 0.766
2 Ni 0.000 0.754 0.000
3 Ni 0.385 0.634 0.766
4 Ni 0.000 0.246 0.000
5 Ni 0.615 0.868 0.234
6 Ni 0.811 0.315 0.629
7 Ni 0.615 0.366 0.234
8 Ni 0.189 0.685 0.371
9 H 0.295 0.553 0.106
10 H 0.705 0.447 0.894
11 Ta 0.187 0.192 0.384
12 Ta 0.813 0.808 0.616

=====

(6)
Below is a relaxed LaNdErSc crystal, with properties calculated at the PBE level.

energy of formation from the pure elements: 0.087 eV/atom
ρ: 6420 kg/m3
E above lowest polymorph: 0.009 eV/f.u.

Unit cell a=3.835 b=5.741 c=6.770 alpha=115.09 beta=73.44 gamma=90.00
Atoms (fractional coordinates):
1 Nd 0.658 0.411 0.821
2 Sc 0.917 0.645 0.291
3 La 0.417 0.137 0.274
4 Er 0.194 0.872 0.744

=====

(7)
Below is a relaxed HoPu2N4 crystal, with properties calculated at the PBE level.

ΔE_f (raw): -7.95 eV/f.u.
ρ: 12857 kg/m3
E above lowest polymorph: 0.626 eV/f.u.

Unit cell a=6.199 b=6.199 c=6.199 alpha=108.36 beta=111.72 gamma=108.36
Each line ends with the local moment (μB).
Atoms (fractional coordinates):
1 N 0.506 0.122 0.260  -0.25
2 N 0.010 0.622 0.756  -0.25
3 N 0.740 0.246 0.862  -0.25
4 N 0.138 0.878 0.384  -0.25
5 N 0.612 0.746 0.990  -0.25
6 N 0.134 0.378 0.388  -0.25
7 N 0.616 0.754 0.494  -0.25
8 N 0.244 0.254 0.866  -0.25
9 Ho 0.000 0.000 0.000  0.04
10 Ho 0.750 0.500 0.250  0.04
11 Pu 0.375 0.882 0.757  4.02
12 Pu 0.507 0.382 0.625  4.02
13 Pu 0.875 0.118 0.493  4.02
14 Pu 0.243 0.618 0.125  4.02

=====

(8)
Below is a relaxed AcPmTe2 crystal, with properties calculated at the PBE level.

ΔE_f (raw): -5.34 eV/f.u.
ρ: 8350 kg/m3
E above lowest polymorph: 0.413 eV/f.u.

Unit cell a=3.963 b=3.963 c=7.940 alpha=90.00 beta=90.00 gamma=90.00
Each line ends with the local moment (μB).
Atoms (fractional coordinates):
1 Te 0.000 0.000 0.764  -0.01
2 Te 0.000 0.000 0.236  -0.01
3 Ac 0.500 0.500 0.500  0.15
4 Pm 0.500 0.500 0.000  0.25

=====

(9)
Below is a relaxed CuPPb2Br crystal, with properties calculated at the PBE level.

ΔE_f (raw): 0.19 eV/f.u.
ρ: 7206 kg/m3

Unit cell a=5.692 b=4.188 c=5.692 alpha=90.00 beta=90.00 gamma=90.00
Atoms (fractional coordinates):
1 Cu 0.000 0.000 0.000
2 Pb 0.000 0.000 0.500
3 Pb 0.500 0.000 0.000
4 P 0.000 0.500 0.000
5 Br 0.500 0.500 0.500

=====

(10)
Below is a relaxed ZnInGa crystal, with properties calculated at the PBE level.

energy of formation from the pure elements: 0.055 eV/atom
ρ: 6666 kg/m3

Unit cell a=3.058 b=6.813 c=6.188 alpha=75.02 beta=90.00 gamma=90.01
Atoms (fractional coordinates):
1 In 0.636 0.227 0.884
2 In 0.136 0.423 0.288
3 Zn 0.639 0.766 0.940
4 Zn 0.139 0.884 0.231
5 Ga 0.639 0.025 0.517
6 Ga 0.139 0.625 0.655

=====

(11)
Below is a relaxed BaSr2PrS4 crystal, with properties calculated at the PBE level.

ΔE_f (raw): -16.35 eV/f.u.
ρ: 4304 kg/m3

Unit cell a=4.280 b=7.426 c=7.480 alpha=70.74 beta=90.00 gamma=90.00
Atoms (fractional coordinates):
1 S 0.000 0.245 0.267
2 S 0.500 0.253 0.736
3 S 0.500 0.747 0.264
4 S 0.000 0.755 0.733
5 Sr 0.500 0.000 0.500
6 Sr 0.000 0.000 0.000
7 Pr 0.000 0.500 0.500
8 Ba 0.500 0.500 0.000